Record 1
The following is a DFT calculation (PBE) of an optimized crystal structure of PmUAl.

Unit cell a=7.1080 b=7.1080 c=7.1080 alpha=90.00 beta=90.00 gamma=90.00
With the nearest neighbours (Å) after each atom.
Space group F-43m (No. 216)
One atom of each set of equivalent atoms:
Pm  0.0000  0.0000  0.0000 [4 per cell]  4 Al 3.08
U  0.0000  0.0000  0.5000 [4 per cell]  4 Al 3.08
Al  0.2500  0.2500  0.2500 [4 per cell]  4 U 3.08, 4 Pm 3.08

Properties
Distance to the lowest polymorph of the same formula = 0.000 eV/atom
Volume = 29.927 Å³ per atom

---

Record 2
The following is a DFT calculation (PBE) of an optimized crystal structure of LiGeAu2.

Unit cell a=6.5006 b=6.5006 c=6.5006 alpha=90.00 beta=90.00 gamma=90.00
With the nearest neighbours (Å) after each atom.
Space group F-43m (No. 216)
One atom of each set of equivalent atoms:
Li  0.0000  0.0000  0.0000 [4 per cell]  4 Ge 2.81, 4 Au 2.81
Ge  0.2500  0.2500  0.7500 [4 per cell]  4 Li 2.81, 4 Au 2.81
Au  0.0000  0.0000  0.5000 [4 per cell]  4 Ge 2.81, 4 Au 2.81
Au  0.2500  0.2500  0.2500 [4 per cell]  4 Li 2.81, 4 Au 2.81

Properties
Uncorrected energy = -55.76 eV/cell
Volume = 17.169 Å³ per atom

---

Record 3
The following is a DFT calculation (PBE) of an optimized crystal structure of NiGeBi2.

Unit cell a=7.2003 b=7.2003 c=7.2003 alpha=90.00 beta=90.00 gamma=90.00
With the nearest neighbours (Å) after each atom.
Space group F-43m (No. 216)
One atom of each set of equivalent atoms:
Ni  0.0000  0.0000  0.0000 [4 per cell]  4 Ge 3.12, 4 Bi 3.12
Ge  0.2500  0.2500  0.2500 [4 per cell]  4 Bi 3.12, 4 Ni 3.12
Bi  0.0000  0.0000  0.5000 [4 per cell]  4 Bi 3.12, 4 Ge 3.12
Bi  0.2500  0.2500  0.7500 [4 per cell]  4 Bi 3.12, 4 Ni 3.12

Properties
Uncorrected energy = -65.01 eV/cell
Volume = 23.331 Å³ per atom

---

The highest volume belongs to which entry?
PmUAl

---

Please write out number 1 again, unchanged.
The following is a DFT calculation (PBE) of an optimized crystal structure of PmUAl.

Unit cell a=7.1080 b=7.1080 c=7.1080 alpha=90.00 beta=90.00 gamma=90.00
With the nearest neighbours (Å) after each atom.
Space group F-43m (No. 216)
One atom of each set of equivalent atoms:
Pm  0.0000  0.0000  0.0000 [4 per cell]  4 Al 3.08
U  0.0000  0.0000  0.5000 [4 per cell]  4 Al 3.08
Al  0.2500  0.2500  0.2500 [4 per cell]  4 U 3.08, 4 Pm 3.08

Properties
Distance to the lowest polymorph of the same formula = 0.000 eV/atom
Volume = 29.927 Å³ per atom

---

Which of these has the lowest volume?
LiGeAu2

---

Number 3 is which compound?
NiGeBi2